! Zr2MnHg (PBE-GGA, optimized geometry); values from VASP
! - Energy of formation: 0.039 eV/atom
! - Crystal system: tetragonal
! - Space group: P4/mmm, No. 123
&SYSTEM
  ibrav = 0, nat = 4, ntyp = 3
/
ATOMIC_SPECIES
Zr 91.22 Zr.upf
Mn 54.94 Mn.upf
Hg 200.59 Hg.upf
ATOMIC_POSITIONS crystal
Zr 0.0000 0.5000 0.0000
Zr 0.5000 0.0000 0.0000
Mn 0.0000 0.0000 0.5000
Hg 0.5000 0.5000 0.5000
CELL_PARAMETERS angstrom
4.7618 0.0000 0.0000
0.0000 4.7618 0.0000
0.0000 0.0000 3.5213



! SmHo5Th (PBE-GGA, optimized geometry); values from VASP
! - Energy of formation: 0.193 eV/atom
! - Distance to the lowest polymorph of the same formula: 0.000 eV per atom
! - Crystal system: monoclinic
! - Space group: C2/c, No. 15
&SYSTEM
  ibrav = 0, nat = 14, ntyp = 3
/
ATOMIC_SPECIES
Sm 150.36 Sm.upf
Ho 164.93 Ho.upf
Th 232.04 Th.upf
ATOMIC_POSITIONS crystal
Sm 0.0126 0.9874 0.7500
Sm 0.9874 0.0126 0.2500
Ho 0.0392 0.7245 0.0395
Ho 0.1103 0.4842 0.3542
Ho 0.2755 0.9608 0.4605
Ho 0.3523 0.6477 0.7500
Ho 0.4842 0.1103 0.8542
Ho 0.5158 0.8897 0.1458
Ho 0.6477 0.3523 0.2500
Ho 0.7245 0.0392 0.5395
Ho 0.8897 0.5158 0.6458
Ho 0.9608 0.2755 0.9605
Th 0.5000 0.5000 0.0000
Th 0.5000 0.5000 0.5000
CELL_PARAMETERS angstrom
3.0639 -8.7737 0.0000
3.0639 8.7737 0.0000
-1.8520 0.0000 8.4311



! Er2Al2Si2C (PBE-GGA, optimized geometry); values from VASP
! - Energy: -39.8 eV per cell
! - Crystal system: tetragonal
! - Space group: I4/mmm, No. 139
&SYSTEM
  ibrav = 0, nat = 7, ntyp = 4
/
ATOMIC_SPECIES
Er 167.26 Er.upf
Al 26.98 Al.upf
Si 28.09 Si.upf
C 12.01 C.upf
ATOMIC_POSITIONS crystal
Er 0.1622 0.1622 0.0000
Er 0.8378 0.8378 0.0000
Al 0.0000 0.5000 0.5000
Al 0.5000 0.0000 0.5000
Si 0.3693 0.3693 0.0000
Si 0.6307 0.6307 0.0000
C 0.0000 0.0000 0.0000
CELL_PARAMETERS angstrom
-2.0464 2.0464 7.2951
2.0464 -2.0464 7.2951
2.0464 2.0464 -7.2951



! Ni2PAu (PBE-GGA, optimized geometry); values from VASP
! - Energy of formation: 0.102 eV/atom
! - Crystal system: tetragonal
! - Space group: P4/mmm, No. 123
&SYSTEM
  ibrav = 0, nat = 4, ntyp = 3
/
ATOMIC_SPECIES
Ni 58.69 Ni.upf
P 30.97 P.upf
Au 196.97 Au.upf
ATOMIC_POSITIONS crystal
Ni 0.0000 0.5000 0.0000
Ni 0.5000 0.0000 0.0000
P 0.0000 0.0000 0.5000
Au 0.5000 0.5000 0.5000
CELL_PARAMETERS angstrom
4.3449 0.0000 0.0000
0.0000 4.3449 0.0000
0.0000 0.0000 2.8094



! LiLa2Zn (PBE-GGA, optimized geometry); values from VASP
! - Energy of formation: 0.023 eV/atom
! - Crystal system: trigonal
! - Space group: R-3m, No. 166
&SYSTEM
  ibrav = 0, nat = 4, ntyp = 3
/
ATOMIC_SPECIES
Li 6.94 Li.upf
La 138.91 La.upf
Zn 65.41 Zn.upf
ATOMIC_POSITIONS crystal
Li 0.0000 0.0000 0.0000
La 0.2407 0.2407 0.2407
La 0.7593 0.7593 0.7593
Zn 0.5000 0.5000 0.5000
CELL_PARAMETERS angstrom
1.8315 1.0574 10.4114
-1.8315 1.0574 10.4114
0.0000 -2.1149 10.4114



! CaTaRh (PBE-GGA, optimized geometry); values from VASP
! - Energy of formation: 0.336 eV/atom
! - Distance to the lowest polymorph of the same formula: 0.639 eV per atom
! - Crystal system: cubic
! - Space group: F-43m, No. 216
&SYSTEM
  ibrav = 0, nat = 3, ntyp = 3
/
ATOMIC_SPECIES
Ca 40.08 Ca.upf
Ta 180.95 Ta.upf
Rh 102.91 Rh.upf
ATOMIC_POSITIONS crystal
Ca 0.0000 0.0000 0.0000
Ta 0.5000 0.5000 0.5000
Rh 0.7500 0.7500 0.7500
CELL_PARAMETERS angstrom
0.0000 3.2178 3.2178
3.2178 0.0000 3.2178
3.2178 3.2178 0.0000



! ZrAgH3 (PBE-GGA, optimized geometry); values from VASP
! - Distance to the lowest polymorph of the same formula: 0.222 eV per atom
! - Crystal system: cubic
! - Space group: Pm-3m, No. 221
&SYSTEM
  ibrav = 0, nat = 5, ntyp = 3
/
ATOMIC_SPECIES
Zr 91.22 Zr.upf
Ag 107.87 Ag.upf
H 1.01 H.upf
ATOMIC_POSITIONS crystal
Zr 0.0000 0.0000 0.0000
Ag 0.5000 0.5000 0.5000
H 0.0000 0.5000 0.5000
H 0.5000 0.0000 0.5000
H 0.5000 0.5000 0.0000
CELL_PARAMETERS angstrom
3.6629 0.0000 0.0000
0.0000 3.6629 0.0000
0.0000 0.0000 3.6629



! TbAg2Pd5 (PBE-GGA, optimized geometry); values from VASP
! - Energy of formation: -0.290 eV/atom
! - Distance to the lowest polymorph of the same formula: 0.156 eV per atom
! - Crystal system: tetragonal
! - Space group: I4/mcm, No. 140
&SYSTEM
  ibrav = 0, nat = 16, ntyp = 3
/
ATOMIC_SPECIES
Tb 158.93 Tb.upf
Ag 107.87 Ag.upf
Pd 106.42 Pd.upf
ATOMIC_POSITIONS crystal
Tb 0.2500 0.2500 0.0000
Tb 0.7500 0.7500 0.0000
Ag 0.1489 0.6489 0.7979
Ag 0.3511 0.1489 0.5000
Ag 0.6489 0.8511 0.5000
Ag 0.8511 0.3511 0.2021
Pd 0.0000 0.0000 0.0000
Pd 0.0211 0.8096 0.5000
Pd 0.1904 0.6904 0.2116
Pd 0.3096 0.5211 0.5000
Pd 0.4789 0.9789 0.7884
Pd 0.5000 0.5000 0.0000
Pd 0.5211 0.0211 0.2116
Pd 0.6904 0.4789 0.5000
Pd 0.8096 0.3096 0.7884
Pd 0.9789 0.1904 0.5000
CELL_PARAMETERS angstrom
-3.5799 3.5799 5.5576
3.5799 -3.5799 5.5576
3.5799 3.5799 -5.5576



! HfTiSn4 (PBE-GGA, optimized geometry); values from VASP
! - Energy of formation: -0.171 eV/atom
! - Crystal system: tetragonal
! - Space group: I4/mcm, No. 140
&SYSTEM
  ibrav = 0, nat = 12, ntyp = 3
/
ATOMIC_SPECIES
Hf 178.49 Hf.upf
Ti 47.87 Ti.upf
Sn 118.71 Sn.upf
ATOMIC_POSITIONS crystal
Hf 0.0000 0.0000 0.0000
Hf 0.5000 0.5000 0.0000
Ti 0.2500 0.2500 0.0000
Ti 0.7500 0.7500 0.0000
Sn 0.0261 0.5261 0.8221
Sn 0.2040 0.0261 0.5000
Sn 0.2960 0.7960 0.8221
Sn 0.4739 0.2960 0.5000
Sn 0.5261 0.7040 0.5000
Sn 0.7040 0.2040 0.1779
Sn 0.7960 0.9739 0.5000
Sn 0.9739 0.4739 0.1779
CELL_PARAMETERS angstrom
-3.4895 3.4895 5.8525
3.4895 -3.4895 5.8525
3.4895 3.4895 -5.8525



! PuBiPt2 (PBE-GGA, optimized geometry); values from VASP
! - Energy of formation: -0.413 eV/atom
! - Crystal system: tetragonal
! - Space group: P4/mmm, No. 123
&SYSTEM
  ibrav = 0, nat = 4, ntyp = 3
/
ATOMIC_SPECIES
Pu 244.00 Pu.upf
Bi 208.98 Bi.upf
Pt 195.08 Pt.upf
ATOMIC_POSITIONS crystal
Pu 0.0000 0.0000 0.0000
Bi 0.5000 0.5000 0.0000
Pt 0.0000 0.5000 0.5000
Pt 0.5000 0.0000 0.5000
CELL_PARAMETERS angstrom
4.8302 0.0000 0.0000
0.0000 4.8302 0.0000
0.0000 0.0000 3.7272



! Sc2AgPb (PBE-GGA, optimized geometry); values from VASP
! - Energy of formation: -0.248 eV/atom
! - Crystal system: orthorhombic
! - Space group: Imm2, No. 44
&SYSTEM
  ibrav = 0, nat = 4, ntyp = 3
/
ATOMIC_SPECIES
Sc 44.96 Sc.upf
Ag 107.87 Ag.upf
Pb 207.20 Pb.upf
ATOMIC_POSITIONS crystal
Sc 0.0000 0.0000 0.0000
Sc 0.7366 0.2366 0.5000
Ag 0.2311 0.7311 0.5000
Pb 0.4644 0.4644 0.0000
CELL_PARAMETERS angstrom
-1.7891 2.4042 5.2528
1.7891 -2.4042 5.2528
1.7891 2.4042 -5.2528



! Sb2HIN (PBE-GGA, optimized geometry); values from VASP
! - Distance to the lowest polymorph of the same formula: 0.000 eV per atom
! - Crystal system: tetragonal
! - Space group: P4/mmm, No. 123
&SYSTEM
  ibrav = 0, nat = 5, ntyp = 4
/
ATOMIC_SPECIES
Sb 121.76 Sb.upf
H 1.01 H.upf
I 126.90 I.upf
N 14.01 N.upf
ATOMIC_POSITIONS crystal
Sb 0.0000 0.5000 0.0000
Sb 0.5000 0.0000 0.0000
H 0.0000 0.0000 0.5000
I 0.5000 0.5000 0.5000
N 0.5000 0.5000 0.0000
CELL_PARAMETERS angstrom
4.7952 0.0000 0.0000
0.0000 4.7952 0.0000
0.0000 0.0000 4.8411



! NaS2N2 (PBE-GGA, optimized geometry); values from VASP
! - Distance to the lowest polymorph of the same formula: 0.799 eV per atom
! - Crystal system: tetragonal
! - Space group: P4/mbm, No. 127
&SYSTEM
  ibrav = 0, nat = 10, ntyp = 3
/
ATOMIC_SPECIES
Na 22.99 Na.upf
S 32.06 S.upf
N 14.01 N.upf
ATOMIC_POSITIONS crystal
Na 0.0000 0.0000 0.0000
Na 0.5000 0.5000 0.0000
S 0.1597 0.3403 0.0000
S 0.3403 0.8403 0.0000
S 0.6597 0.1597 0.0000
S 0.8403 0.6597 0.0000
N 0.2402 0.7402 0.5000
N 0.2598 0.2402 0.5000
N 0.7402 0.7598 0.5000
N 0.7598 0.2598 0.5000
CELL_PARAMETERS angstrom
7.5447 0.0000 0.0000
0.0000 7.5447 0.0000
0.0000 0.0000 2.6986



! ErMgTe (PBE-GGA, optimized geometry); values from VASP
! - Energy: -22.5 eV per cell
! - Crystal system: trigonal
! - Space group: R-3m, No. 166
&SYSTEM
  ibrav = 0, nat = 6, ntyp = 3
/
ATOMIC_SPECIES
Er 167.26 Er.upf
Mg 24.30 Mg.upf
Te 127.60 Te.upf
ATOMIC_POSITIONS crystal
Er 0.0764 0.0764 0.0764
Er 0.9236 0.9236 0.9236
Mg 0.3332 0.3332 0.3332
Mg 0.6668 0.6668 0.6668
Te 0.2142 0.2142 0.2142
Te 0.7858 0.7858 0.7858
CELL_PARAMETERS angstrom
2.5224 1.4563 8.1696
-2.5224 1.4563 8.1696
0.0000 -2.9127 8.1696



! Pm5Ni4Au (PBE-GGA, optimized geometry); values from VASP
! - Energy of formation: -0.356 eV/atom
! - Crystal system: tetragonal
! - Space group: P4/mmm, No. 123
&SYSTEM
  ibrav = 0, nat = 10, ntyp = 3
/
ATOMIC_SPECIES
Pm 145.00 Pm.upf
Ni 58.69 Ni.upf
Au 196.97 Au.upf
ATOMIC_POSITIONS crystal
Pm 0.0000 0.0000 0.0000
Pm 0.0000 0.0000 0.1943
Pm 0.0000 0.0000 0.3882
Pm 0.0000 0.0000 0.6118
Pm 0.0000 0.0000 0.8057
Ni 0.5000 0.5000 0.0960
Ni 0.5000 0.5000 0.2919
Ni 0.5000 0.5000 0.7081
Ni 0.5000 0.5000 0.9040
Au 0.5000 0.5000 0.5000
CELL_PARAMETERS angstrom
3.5059 0.0000 0.0000
0.0000 3.5059 0.0000
0.0000 0.0000 17.7182



! MnFeHIrPd (PBE-GGA, optimized geometry); values from VASP
! - Distance to the lowest polymorph of the same formula: 0.173 eV per atom
! - Crystal system: monoclinic
! - Space group: Cm, No. 8
&SYSTEM
  ibrav = 0, nat = 5, ntyp = 5
/
ATOMIC_SPECIES
Mn 54.94 Mn.upf
Fe 55.84 Fe.upf
H 1.01 H.upf
Ir 192.22 Ir.upf
Pd 106.42 Pd.upf
ATOMIC_POSITIONS crystal
Mn 0.0000 0.0000 0.0000
Fe 0.8407 0.8407 0.4898
H 0.0037 0.0037 0.5488
Ir 0.6028 0.6028 0.4828
Pd 0.2576 0.2576 0.9887
CELL_PARAMETERS angstrom
5.2875 -1.3918 0.0000
5.2875 1.3918 0.0000
-0.0363 0.0000 4.1160



! Er4Al12Ag (PBE-GGA, optimized geometry); values from VASP
! - Energy of formation: -0.407 eV/atom
! - Crystal system: cubic
! - Space group: Im-3m, No. 229
&SYSTEM
  ibrav = 0, nat = 17, ntyp = 3
/
ATOMIC_SPECIES
Er 167.26 Er.upf
Al 26.98 Al.upf
Ag 107.87 Ag.upf
ATOMIC_POSITIONS crystal
Er 0.0000 0.0000 0.5000
Er 0.0000 0.5000 0.0000
Er 0.5000 0.0000 0.0000
Er 0.5000 0.5000 0.5000
Al 0.0000 0.3014 0.3014
Al 0.0000 0.6986 0.6986
Al 0.2500 0.5000 0.7500
Al 0.2500 0.7500 0.5000
Al 0.3014 0.0000 0.3014
Al 0.3014 0.3014 0.0000
Al 0.5000 0.2500 0.7500
Al 0.5000 0.7500 0.2500
Al 0.6986 0.0000 0.6986
Al 0.6986 0.6986 0.0000
Al 0.7500 0.2500 0.5000
Al 0.7500 0.5000 0.2500
Ag 0.0000 0.0000 0.0000
CELL_PARAMETERS angstrom
-4.3311 4.3311 4.3311
4.3311 -4.3311 4.3311
4.3311 4.3311 -4.3311



! Na2LiP2 (PBE-GGA, optimized geometry); values from VASP
! - Energy of formation: -0.059 eV/atom
! - Distance to the lowest polymorph of the same formula: 0.322 eV per atom
! - Crystal system: tetragonal
! - Space group: P4/mbm, No. 127
&SYSTEM
  ibrav = 0, nat = 10, ntyp = 3
/
ATOMIC_SPECIES
Na 22.99 Na.upf
Li 6.94 Li.upf
P 30.97 P.upf
ATOMIC_POSITIONS crystal
Na 0.1200 0.3800 0.0000
Na 0.3800 0.8800 0.0000
Na 0.6200 0.1200 0.0000
Na 0.8800 0.6200 0.0000
Li 0.0000 0.0000 0.0000
Li 0.5000 0.5000 0.0000
P 0.1787 0.6787 0.5000
P 0.3213 0.1787 0.5000
P 0.6787 0.8213 0.5000
P 0.8213 0.3213 0.5000
CELL_PARAMETERS angstrom
8.4147 0.0000 0.0000
0.0000 8.4147 0.0000
0.0000 0.0000 2.7514



! MnCr2HRu (PBE-GGA, optimized geometry); values from VASP
! - Distance to the lowest polymorph of the same formula: 0.019 eV per atom
! - Crystal system: tetragonal
! - Space group: P4/mmm, No. 123
&SYSTEM
  ibrav = 0, nat = 5, ntyp = 4
/
ATOMIC_SPECIES
Mn 54.94 Mn.upf
Cr 52.00 Cr.upf
H 1.01 H.upf
Ru 101.07 Ru.upf
ATOMIC_POSITIONS crystal
Mn 0.0000 0.0000 0.0000
Cr 0.0000 0.5000 0.5000
Cr 0.5000 0.0000 0.5000
H 0.5000 0.5000 0.5000
Ru 0.5000 0.5000 0.0000
CELL_PARAMETERS angstrom
3.7329 0.0000 0.0000
0.0000 3.7329 0.0000
0.0000 0.0000 3.7489



! GaPBrO2 (PBE-GGA, optimized geometry); values from VASP
! - Distance to the lowest polymorph of the same formula: 0.675 eV per atom
! - Crystal system: tetragonal
! - Space group: P4/mmm, No. 123
&SYSTEM
  ibrav = 0, nat = 5, ntyp = 4
/
ATOMIC_SPECIES
Ga 69.72 Ga.upf
P 30.97 P.upf
Br 79.90 Br.upf
O 16.00 O.upf
ATOMIC_POSITIONS crystal
Ga 0.0000 0.0000 0.0000
P 0.5000 0.5000 0.0000
Br 0.5000 0.5000 0.5000
O 0.0000 0.5000 0.5000
O 0.5000 0.0000 0.5000
CELL_PARAMETERS angstrom
3.8601 0.0000 0.0000
0.0000 3.8601 0.0000
0.0000 0.0000 5.2438